Below is La2PrNdHg2 after structural relaxation, with properties calculated at the GGA-PBE level.

Calculated values
* final energy: -3.668 eV/atom
* space-group type: Pmc2_1 (26)
* magnetization: 0.0 Bohr magnetons per cell
* calculated density: 8.416 g/cm³

The structure in POSCAR format:
```
La2PrNdHg2
1.0
5.330 0.000 0.000
0.000 9.827 0.000
0.000 0.000 7.263
La Pr Nd Hg
4 2 2 4
Direct
0.000 0.057 0.000 La
0.000 0.943 0.500 La
0.500 0.172 0.312 La
0.500 0.828 0.812 La
0.500 0.444 0.976 Pr
0.500 0.556 0.476 Pr
0.000 0.328 0.662 Nd
0.000 0.672 0.162 Nd
0.000 0.355 0.224 Hg
0.000 0.645 0.724 Hg
0.500 0.154 0.754 Hg
0.500 0.846 0.254 Hg
```